1.
Computed, not measured: an optimized crystal structure of TiV2H at the PBE level of DFT.

Cell: 2.5715 2.5715 6.9783 Å, 90.00 90.00 90.00°
With the nearest neighbours (Å) after each atom.
Positions (direct):
Ti (0.0000, 0.0000, 0.0000)  4 Ti 2.57, 8 V 2.88
V (0.5000, 0.5000, 0.3195)  4 H 2.21
V (0.5000, 0.5000, 0.6805)  4 H 2.21
H (0.0000, 0.0000, 0.5000)  8 V 2.21

Computed properties:
- Energy: -7.16 eV per atom
- SG: P4/mmm
- ΔE to the lowest computed polymorph: 357 meV/atom

=====

2.
Computed, not measured: an optimized crystal structure of KTaHg2 at the PBE level of DFT.

Cell: 5.1557 5.1557 5.1557 Å, 60.00 60.00 60.00°
With the nearest neighbours (Å) after each atom.
Positions (direct):
K (0.0000, 0.0000, 0.0000)  4 Hg 3.16, 4 Ta 3.16
Ta (0.2500, 0.2500, 0.2500)  4 Hg 3.16, 4 K 3.16
Hg (0.5000, 0.5000, 0.5000)  4 Hg 3.16, 4 Ta 3.16
Hg (0.7500, 0.7500, 0.7500)  4 Hg 3.16, 4 K 3.16

Computed properties:
- Energy: -2.28 eV per atom
- SG: F-43m
- ΔE to the lowest computed polymorph: 728 meV/atom
- Formation energy: 1.108 eV/atom

=====

> Which of these has the lowest energy?

TiV2H

=====

> Among the records above, which one has the lowest ΔE to the lowest computed polymorph?

TiV2H